No. 1
A plane-wave DFT calculation with PBE was carried out for a relaxed LiY2Tl2 crystal.

Cell: 9.119 9.119 3.522 Å, 90.00 90.00 90.00°
Positions (direct):
Li 0.000 0.000 0.000
Li 0.500 0.500 0.000
Y 0.129 0.371 0.000
Y 0.371 0.871 0.000
Y 0.629 0.129 0.000
Y 0.871 0.629 0.000
Tl 0.174 0.674 0.500
Tl 0.326 0.174 0.500
Tl 0.674 0.826 0.500
Tl 0.826 0.326 0.500

Output
For the mass density, the calculation gives 6.73 g/cm³. The final energy comes out at -4.043 eV per atom. Its formation energy is -0.64 eV per formula unit. As for the distance to the lowest polymorph of the same formula: 177 meV/atom. As for the symmetry: P4/mbm (127).

No. 2
A plane-wave DFT calculation with PBE was carried out for a relaxed LiY2Tl crystal.

Cell: 3.792 3.792 7.474 Å, 90.00 90.00 90.00°
Positions (direct):
Li 0.000 0.000 0.000
Y 0.000 0.000 0.442
Y 0.500 0.500 0.741
Tl 0.500 0.500 0.184

Output
For the mass density, the calculation gives 6.01 g/cm³. The final energy comes out at -4.425 eV per atom. Its formation energy is -0.49 eV per formula unit. As for the distance to the lowest polymorph of the same formula: 111 meV/atom. As for the symmetry: P4mm (99).

No. 3
A plane-wave DFT calculation with PBE was carried out for a relaxed Li2YTl crystal.

Cell: 4.398 4.398 21.010 Å, 90.00 90.00 90.00°
Positions (direct):
Li 0.179 0.250 0.125
Li 0.250 0.679 0.375
Li 0.250 0.821 0.875
Li 0.321 0.250 0.625
Li 0.679 0.750 0.625
Li 0.750 0.179 0.875
Li 0.750 0.321 0.375
Li 0.821 0.750 0.125
Y 0.000 0.000 0.500
Y 0.000 0.500 0.750
Y 0.500 0.000 0.250
Y 0.500 0.500 0.000
Tl 0.000 0.000 0.000
Tl 0.000 0.500 0.250
Tl 0.500 0.000 0.750
Tl 0.500 0.500 0.500

Output
For the mass density, the calculation gives 5.02 g/cm³. The final energy comes out at -3.155 eV per atom. Its formation energy is 0.04 eV per formula unit. As for the distance to the lowest polymorph of the same formula: 257 meV/atom. As for the symmetry: I-42d (122).

No. 4
A plane-wave DFT calculation with PBE was carried out for a relaxed LiYTlZn crystal.

Cell: 7.055 7.055 7.055 Å, 90.00 90.00 90.00°
Positions (direct):
Li 0.000 0.000 0.000
Li 0.000 0.500 0.500
Li 0.500 0.000 0.500
Li 0.500 0.500 0.000
Y 0.000 0.000 0.500
Y 0.000 0.500 0.000
Y 0.500 0.000 0.000
Y 0.500 0.500 0.500
Tl 0.250 0.250 0.250
Tl 0.250 0.750 0.750
Tl 0.750 0.250 0.750
Tl 0.750 0.750 0.250
Zn 0.250 0.250 0.750
Zn 0.250 0.750 0.250
Zn 0.750 0.250 0.250
Zn 0.750 0.750 0.750

Output
For the mass density, the calculation gives 6.92 g/cm³. The final energy comes out at -3.291 eV per atom. Its formation energy is -1.15 eV per formula unit. As for the symmetry: F-43m (216).

No. 5
A plane-wave DFT calculation with PBE was carried out for a relaxed Li2YbTl crystal.

Cell: 7.062 7.062 7.062 Å, 90.00 90.00 90.00°
Positions (direct):
Li 0.250 0.250 0.250
Li 0.250 0.250 0.750
Li 0.250 0.750 0.250
Li 0.250 0.750 0.750
Li 0.750 0.250 0.250
Li 0.750 0.250 0.750
Li 0.750 0.750 0.250
Li 0.750 0.750 0.750
Yb 0.000 0.000 0.000
Yb 0.000 0.500 0.500
Yb 0.500 0.000 0.500
Yb 0.500 0.500 0.000
Tl 0.000 0.000 0.500
Tl 0.000 0.500 0.000
Tl 0.500 0.000 0.000
Tl 0.500 0.500 0.500

Output
For the mass density, the calculation gives 7.38 g/cm³. The final energy comes out at -2.161 eV per atom. Its formation energy is -0.92 eV per formula unit. As for the symmetry: Fm-3m (225).

No. 6
A plane-wave DFT calculation with PBE was carried out for a relaxed LiYb2Tl crystal.

Cell: 7.675 7.675 7.675 Å, 90.00 90.00 90.00°
Positions (direct):
Li 0.000 0.000 0.000
Li 0.000 0.500 0.500
Li 0.500 0.000 0.500
Li 0.500 0.500 0.000
Yb 0.250 0.250 0.250
Yb 0.250 0.250 0.750
Yb 0.250 0.750 0.250
Yb 0.250 0.750 0.750
Yb 0.750 0.250 0.250
Yb 0.750 0.250 0.750
Yb 0.750 0.750 0.250
Yb 0.750 0.750 0.750
Tl 0.000 0.000 0.500
Tl 0.000 0.500 0.000
Tl 0.500 0.000 0.000
Tl 0.500 0.500 0.500

Output
For the mass density, the calculation gives 8.19 g/cm³. The final energy comes out at -2.103 eV per atom. Its formation energy is -1.08 eV per formula unit. As for the symmetry: Fm-3m (225).

No. 7
A plane-wave DFT calculation with PBE was carried out for a relaxed LiTl3Zn crystal.

Cell: 5.372 5.372 5.372 Å, 90.00 90.00 90.00°
Positions (direct):
Li 0.000 0.000 0.000
Tl 0.000 0.500 0.500
Tl 0.500 0.000 0.500
Tl 0.500 0.500 0.000
Zn 0.500 0.500 0.500

Output
For the mass density, the calculation gives 7.34 g/cm³. The final energy comes out at -1.855 eV per atom. Its formation energy is 1.01 eV per formula unit. As for the distance to the lowest polymorph of the same formula: 0 meV/atom. As for the symmetry: Pm-3m (221).

No. 8
A plane-wave DFT calculation with PBE was carried out for a relaxed LiTl3Zn crystal.

Cell: 5.180 5.180 5.180 Å, 90.00 90.00 90.00°
Positions (direct):
Li 0.000 0.000 0.000
Tl 0.000 0.000 0.500
Tl 0.000 0.500 0.000
Tl 0.500 0.000 0.000
Zn 0.500 0.500 0.500

Output
For the mass density, the calculation gives 8.19 g/cm³. The final energy comes out at -1.842 eV per atom. Its formation energy is 1.08 eV per formula unit. As for the distance to the lowest polymorph of the same formula: 12 meV/atom. As for the symmetry: Pm-3m (221).

No. 9
A plane-wave DFT calculation with PBE was carried out for a relaxed LiTl2Zn crystal.

Cell: 11.200 3.587 4.910 Å, 90.00 111.86 90.00°
Positions (direct):
Li 0.000 0.000 0.000
Li 0.500 0.500 0.000
Tl 0.030 0.500 0.521
Tl 0.253 0.500 0.201
Tl 0.530 0.000 0.521
Tl 0.753 0.000 0.201
Zn 0.293 0.000 0.732
Zn 0.793 0.500 0.732

Output
For the mass density, the calculation gives 8.73 g/cm³. The final energy comes out at -2.001 eV per atom. Its formation energy is -0.08 eV per formula unit. As for the symmetry: Cm (8).

No. 10
A plane-wave DFT calculation with PBE was carried out for a relaxed LiTlZn2 crystal.

Cell: 3.085 4.827 5.158 Å, 90.00 93.80 90.00°
Positions (direct):
Li 0.000 0.000 0.000
Tl 0.500 0.000 0.500
Zn 0.299 0.500 0.216
Zn 0.701 0.500 0.784

Output
For the mass density, the calculation gives 7.41 g/cm³. The final energy comes out at -1.705 eV per atom. Its formation energy is 0.01 eV per formula unit. As for the symmetry: P2/m (10).

No. 11
A plane-wave DFT calculation with PBE was carried out for a relaxed Li4TlZn2 crystal.

Cell: 7.763 4.515 7.057 Å, 90.00 111.55 90.00°
Positions (direct):
Li 0.068 0.000 0.206
Li 0.220 0.000 0.662
Li 0.280 0.500 0.338
Li 0.432 0.500 0.794
Li 0.568 0.500 0.206
Li 0.720 0.500 0.662
Li 0.780 0.000 0.338
Li 0.932 0.000 0.794
Tl 0.000 0.500 0.500
Tl 0.500 0.000 0.500
Zn 0.148 0.500 0.941
Zn 0.352 0.000 0.059
Zn 0.648 0.000 0.941
Zn 0.852 0.500 0.059

Output
For the mass density, the calculation gives 5.24 g/cm³. The final energy comes out at -2.001 eV per atom. Its formation energy is -1.44 eV per formula unit. As for the symmetry: C2/m (12).

No. 12
A plane-wave DFT calculation with PBE was carried out for a relaxed Li2TlZn crystal.

Cell: 6.611 6.618 3.289 Å, 90.00 90.00 90.00°
Positions (direct):
Li 0.250 0.250 0.000
Li 0.250 0.750 0.000
Li 0.750 0.250 0.000
Li 0.750 0.750 0.000
Tl 0.000 0.000 0.500
Tl 0.500 0.500 0.500
Zn 0.000 0.500 0.500
Zn 0.500 0.000 0.500

Output
For the mass density, the calculation gives 6.55 g/cm³. The final energy comes out at -2.041 eV per atom. Its formation energy is -0.70 eV per formula unit. As for the symmetry: Cmmm (65).

- The lowest mass density belongs to which entry?
  Li2YTl

- What is the final energy in the seventh record?
  -1.855 eV per atom